1.
PBEsol Zr3Tc5, optimized geometry; raw total energy = -10.68 eV per atom; crystal system = orthorhombic; ρ = 9.8 g/cm³
1.0
4.496 0.000 0.000
0.000 5.531 -0.004
0.000 -1.847 5.213
Tc Zr
5 3
direct
0.000 0.000 0.000
0.000 0.500 0.000
0.000 0.000 0.500
0.500 0.758 0.758
0.500 0.242 0.242
0.000 0.500 0.500
0.500 0.752 0.248
0.500 0.248 0.752

=====

2.
PBEsol Zr5Tc24, optimized geometry; raw total energy = -11.07 eV per atom; crystal system = cubic; ρ = 10.6 g/cm³
1.0
-3.064 2.788 -7.204
-2.967 -7.614 1.511
-2.262 5.123 6.140
Tc Zr
24 5
direct
0.625 0.820 0.625
0.805 0.180 0.805
0.195 0.000 0.375
0.375 0.000 0.195
0.820 0.625 0.625
0.180 0.805 0.805
0.000 0.375 0.195
0.000 0.195 0.375
0.625 0.625 0.820
0.805 0.805 0.180
0.375 0.195 0.000
0.195 0.375 0.000
0.606 0.280 0.606
0.326 0.720 0.326
0.674 0.000 0.394
0.394 0.000 0.674
0.280 0.606 0.606
0.720 0.326 0.326
0.000 0.394 0.674
0.000 0.674 0.394
0.606 0.606 0.280
0.326 0.326 0.720
0.394 0.674 0.000
0.674 0.394 0.000
0.377 0.377 0.377
0.000 0.623 0.000
0.000 0.000 0.623
0.623 0.000 0.000
0.000 0.000 0.000

=====

> Look up the ρ of the first one.

9.8 g/cm³